No. 1
Computed, not measured: an optimized crystal structure of KEr2CuO4 at the PBE-GGA level of DFT.

Lattice parameters (Å, degrees): 3.426 11.542 11.736 90.00 90.00 90.00
Space group Cmcm (No. 63)
One atom of each set of equivalent atoms:
K  0.000  0.099  0.250 (multiplicity 4)
Er  0.000  0.367  0.061 (multiplicity 8)
Cu  0.000  0.177  0.750 (multiplicity 4)
O  0.000  0.000  0.000 (multiplicity 4)
O  0.000  0.255  0.596 (multiplicity 8)
O  0.000  0.423  0.250 (multiplicity 4)

Summary:
- Uncorrected formation energy: -2.505 eV per atom
- Total moment: 0.00 μB per cell
- ρ: 7.17 g/cm3
- DFT total energy: -6.77 eV per atom


No. 2
Computed, not measured: an optimized crystal structure of K2ErCu2O4 at the PBE-GGA level of DFT.

Lattice parameters (Å, degrees): 13.214 3.383 6.483 90.00 107.73 90.00
Space group C2/m (No. 12)
One atom of each set of equivalent atoms:
K  0.126  0.000  0.051 (multiplicity 4)
Er  0.000  0.000  0.500 (multiplicity 2)
Cu  0.187  0.500  0.533 (multiplicity 4)
O  0.033  0.500  0.297 (multiplicity 4)
O  0.185  0.000  0.680 (multiplicity 4)

Summary:
- Uncorrected formation energy: -1.548 eV per atom
- Total moment: 0.04 μB per cell
- ρ: 5.25 g/cm3
- DFT total energy: -5.41 eV per atom


No. 3
Computed, not measured: an optimized crystal structure of KEr2Cu2S4 at the PBE-GGA level of DFT.

Lattice parameters (Å, degrees): 14.699 3.611 7.490 90.00 117.10 90.00
Space group C2/m (No. 12)
One atom of each set of equivalent atoms:
K  0.000  0.000  0.000 (multiplicity 2)
Er  0.127  0.000  0.560 (multiplicity 4)
Cu  0.194  0.500  0.032 (multiplicity 4)
S  0.040  0.500  0.724 (multiplicity 4)
S  0.218  0.000  0.275 (multiplicity 4)

Summary:
- Uncorrected formation energy: -1.131 eV per atom
- Total moment: 0.00 μB per cell
- ρ: 5.90 g/cm3
- DFT total energy: -5.01 eV per atom


No. 4
Computed, not measured: an optimized crystal structure of KEr2Cu2Se4 at the PBE-GGA level of DFT.

Lattice parameters (Å, degrees): 15.245 3.787 7.837 90.00 117.30 90.00
Space group C2/m (No. 12)
One atom of each set of equivalent atoms:
K  0.000  0.000  0.000 (multiplicity 2)
Er  0.125  0.000  0.562 (multiplicity 4)
Cu  0.201  0.500  0.034 (multiplicity 4)
Se  0.038  0.500  0.726 (multiplicity 4)
Se  0.220  0.000  0.276 (multiplicity 4)

Summary:
- Uncorrected formation energy: -1.032 eV per atom
- Total moment: 0.00 μB per cell
- ρ: 6.75 g/cm3
- DFT total energy: -4.63 eV per atom


No. 5
Computed, not measured: an optimized crystal structure of KErCuSe2 at the PBE-GGA level of DFT.

Lattice parameters (Å, degrees): 7.777 4.534 8.094 90.00 97.83 90.00
Space group P2/c (No. 13)
One atom of each set of equivalent atoms:
K  0.000  0.143  0.250 (multiplicity 2)
Er  0.500  0.494  0.750 (multiplicity 2)
Cu  0.500  0.000  0.000 (multiplicity 2)
Se  0.263  0.344  0.971 (multiplicity 4)

Summary:
- Uncorrected formation energy: -1.012 eV per atom
- Total moment: 0.00 μB per cell
- ρ: 5.03 g/cm3
- DFT total energy: -4.36 eV per atom


No. 6
Computed, not measured: an optimized crystal structure of LaErCu4 at the PBE-GGA level of DFT.

Lattice parameters (Å, degrees): 7.539 7.539 7.539 90.00 90.00 90.00
Space group F-43m (No. 216)
One atom of each set of equivalent atoms:
La  0.000  0.000  0.000 (multiplicity 4)
Er  0.250  0.250  0.250 (multiplicity 4)
Cu  0.123  0.123  0.623 (multiplicity 16)

Summary:
- Formation enthalpy at 0 K: -0.12 eV/atom
- Total moment: 0.00 μB per cell
- ρ: 8.69 g/cm3
- Offset from the most stable computed form: 92 meV per atom
- DFT total energy: -4.43 eV per atom


No. 7
Computed, not measured: an optimized crystal structure of LaEr3Cu2 at the PBE-GGA level of DFT.

Lattice parameters (Å, degrees): 3.474 3.474 12.321 90.00 90.00 90.00
Space group P4/mmm (No. 123)
One atom of each set of equivalent atoms:
La  0.000  0.000  0.000 (multiplicity 1)
Er  0.500  0.500  0.227 (multiplicity 2)
Er  0.500  0.500  0.500 (multiplicity 1)
Cu  0.000  0.000  0.359 (multiplicity 2)

Summary:
- Formation enthalpy at 0 K: -0.17 eV/atom
- Total moment: 0.00 μB per cell
- ρ: 8.58 g/cm3
- DFT total energy: -4.64 eV per atom


No. 8
Computed, not measured: an optimized crystal structure of LaEr2Cu at the PBE-GGA level of DFT.

Lattice parameters (Å, degrees): 3.6582 3.6582 29.5450 90.00 90.00 120.00
Space group R-3m (No. 166, hexagonal axes)
One atom of each set of equivalent atoms:
La  0.0000  0.0000  0.0000 (multiplicity 3)
Er  0.0000  0.0000  0.2311 (multiplicity 6)
Cu  0.0000  0.0000  0.5000 (multiplicity 3)

Summary:
- Formation enthalpy at 0 K: 0.03 eV/atom
- Total moment: 0.00 μB per cell
- ρ: 7.81 g/cm3
- Offset from the most stable computed form: 130 meV per atom
- DFT total energy: -4.51 eV per atom


No. 9
Computed, not measured: an optimized crystal structure of LaEr3Cu at the PBE-GGA level of DFT.

Lattice parameters (Å, degrees): 5.362 5.362 5.362 90.00 90.00 90.00
Space group Pm-3m (No. 221)
One atom of each set of equivalent atoms:
La  0.000  0.000  0.000 (multiplicity 1)
Er  0.000  0.500  0.500 (multiplicity 3)
Cu  0.500  0.500  0.500 (multiplicity 1)

Summary:
- Formation enthalpy at 0 K: 0.04 eV/atom
- Total moment: 0.00 μB per cell
- ρ: 7.59 g/cm3
- DFT total energy: -4.50 eV per atom


No. 10
Computed, not measured: an optimized crystal structure of La4ErCu5 at the PBE-GGA level of DFT.

Lattice parameters (Å, degrees): 3.588 3.588 18.280 90.00 90.00 90.00
Space group P4/mmm (No. 123)
One atom of each set of equivalent atoms:
La  0.000  0.000  0.102 (multiplicity 2)
La  0.000  0.000  0.307 (multiplicity 2)
Er  0.000  0.000  0.500 (multiplicity 1)
Cu  0.500  0.500  0.000 (multiplicity 1)
Cu  0.500  0.500  0.205 (multiplicity 2)
Cu  0.500  0.500  0.416 (multiplicity 2)

Summary:
- Formation enthalpy at 0 K: -0.16 eV/atom
- Total moment: 0.00 μB per cell
- ρ: 7.34 g/cm3
- DFT total energy: -4.63 eV per atom


No. 11
Computed, not measured: an optimized crystal structure of La2ErCu6 at the PBE-GGA level of DFT.

Lattice parameters (Å, degrees): 7.4434 7.4434 3.7378 90.00 90.00 120.00
Space group P6/mmm (No. 191)
One atom of each set of equivalent atoms:
La  0.3333  0.6667  0.0000 (multiplicity 2)
Er  0.0000  0.0000  0.0000 (multiplicity 1)
Cu  0.0000  0.3289  0.5000 (multiplicity 6)

Summary:
- Formation enthalpy at 0 K: -0.22 eV/atom
- Total moment: 0.00 μB per cell
- ρ: 7.65 g/cm3
- DFT total energy: -4.56 eV per atom


No. 12
Computed, not measured: an optimized crystal structure of LaEr4Cu5 at the PBE-GGA level of DFT.

Lattice parameters (Å, degrees): 3.449 3.449 17.647 90.00 90.00 90.00
Space group P4/mmm (No. 123)
One atom of each set of equivalent atoms:
La  0.000  0.000  0.000 (multiplicity 1)
Er  0.000  0.000  0.207 (multiplicity 2)
Er  0.000  0.000  0.402 (multiplicity 2)
Cu  0.500  0.500  0.116 (multiplicity 2)
Cu  0.500  0.500  0.305 (multiplicity 2)
Cu  0.500  0.500  0.500 (multiplicity 1)

Summary:
- Formation enthalpy at 0 K: -0.25 eV/atom
- Total moment: 0.00 μB per cell
- ρ: 8.90 g/cm3
- DFT total energy: -4.62 eV per atom